Compound: Ag2AsW
Source: Alexandria
Functional: PBE-GGA
Structure: optimized geometry

Cell lengths 9.2389, 9.2389, 9.2389 Å; angles 18.75, 18.75, 18.75 degrees
With the nearest neighbours (Å) after each atom.
Fractional positions:
1 Ag 0.0030 0.0030 0.0030  3 W 2.93, 9 Ag 2.93-3.01
2 As 0.4912 0.4912 0.4912  3 W 2.54
3 W 0.7562 0.7562 0.7562  3 As 2.54
4 Ag 0.2496 0.2496 0.2496  9 Ag 2.93-3.01, 3 As 3.04

Computed properties:
- SG = R3m, No. 160
- formation energy from the elements (eV per atom) = 0.3064
- crystal system = trigonal
- mass density (g/cm³) = 11.1

Compound: AgAs2W
Source: Alexandria
Functional: PBE-GGA
Structure: optimized geometry

Cell lengths 6.8846, 6.8846, 6.8846 Å; angles 156.48, 137.33, 49.29 degrees
With the nearest neighbours (Å) after each atom.
Fractional positions:
1 As 0.9212 0.9212 0.0000  2 W 2.56, 2 As 2.81
2 Ag 0.2500 0.7500 0.5000  2 Ag 2.81, 4 W 2.87
3 As 0.5788 0.5788 0.0000  2 W 2.56, 2 As 2.81
4 W 0.7500 0.2500 0.5000  4 As 2.56, 2 W 2.81

Computed properties:
- relative energy among the computed polymorphs (eV per atom) = 0.279
- SG = Immm, No. 71
- formation energy from the elements (eV per atom) = 0.4100
- crystal system = orthorhombic
- mass density (g/cm³) = 8.3

Compound: Ag2AsW
Source: Alexandria
Functional: PBE-GGA
Structure: optimized geometry

Cell lengths 9.6791, 9.6791, 9.6791 Å; angles 17.27, 17.27, 17.27 degrees
With the nearest neighbours (Å) after each atom.
Fractional positions:
1 As 0.2500 0.2500 0.2500  6 As 2.91, 6 Ag 2.92
2 Ag 0.0002 0.0002 0.0002  6 Ag 2.91, 3 W 2.91, 3 As 2.92
3 W 0.7500 0.7500 0.7500  6 W 2.91, 6 Ag 2.91
4 Ag 0.4998 0.4998 0.4998  6 Ag 2.91, 3 W 2.91, 3 As 2.92

Computed properties:
- SG = R-3m, No. 166
- formation energy from the elements (eV per atom) = 0.4915
- crystal system = trigonal
- mass density (g/cm³) = 11.3

Compound: Ag2AsW
Source: Alexandria
Functional: PBE-GGA
Structure: optimized geometry

Cell lengths 3.0105, 4.4547, 5.0933 Å; angles 90.00, 90.00, 90.00 degrees
With the nearest neighbours (Å) after each atom.
Fractional positions:
1 W 0.0000 0.5000 0.5000  4 As 2.69, 4 Ag 2.96, 2 W 3.01
2 Ag 0.0000 0.0000 0.0000  6 Ag 2.69-3.01, 4 As 2.96
3 As 0.5000 0.0000 0.5000  4 W 2.69, 4 Ag 2.96, 2 As 3.01
4 Ag 0.5000 0.5000 0.0000  6 Ag 2.69-3.01, 4 W 2.96

Computed properties:
- SG = Pmmm, No. 47
- formation energy from the elements (eV per atom) = 0.5400
- crystal system = orthorhombic
- mass density (g/cm³) = 11.5

Compound: AgAsW
Source: Alexandria
Functional: PBE-GGA
Structure: optimized geometry

Cell lengths 4.2664, 4.2664, 4.2664 Å; angles 60.00, 60.00, 60.00 degrees
With the nearest neighbours (Å) after each atom.
Fractional positions:
1 Ag 0.5000 0.5000 0.5000  4 As 2.61
2 W 0.0000 0.0000 0.0000  4 As 2.61
3 As 0.7500 0.7500 0.7500  4 Ag 2.61, 4 W 2.61

Computed properties:
- relative energy among the computed polymorphs (eV per atom) = 0.375
- SG = F-43m, No. 216
- formation energy from the elements (eV per atom) = 0.7739
- crystal system = cubic
- mass density (g/cm³) = 11.1

Compound: Ag2AsW
Source: Alexandria
Functional: PBE-GGA
Structure: optimized geometry

Cell lengths 2.7774, 2.7774, 9.1616 Å; angles 90.00, 90.00, 96.40 degrees
With the nearest neighbours (Å) after each atom.
Fractional positions:
1 W 0.5000 0.5000 0.7500  4 W 2.78, 8 Ag 2.89-3.04
2 As 0.5000 0.5000 0.2500  4 As 2.78, 4 Ag 3.00
3 Ag 0.0000 0.0000 0.5072  4 Ag 2.78, 4 W 2.89-3.04, 2 As 3.00
4 Ag 0.0000 0.0000 0.9928  4 Ag 2.78, 4 W 2.89-3.04, 2 As 3.00

Computed properties:
- SG = Cmmm, No. 65
- formation energy from the elements (eV per atom) = 0.4774
- crystal system = orthorhombic
- mass density (g/cm³) = 11.2